Entry 1:
Here is an optimized crystal structure of Ni2SeCl from Alexandria via LeMat-Bulk. Energies are from GGA-PBEsol.

a b c (Å): 2.9347 4.3065 4.3065
angles (deg): 90.00 90.00 90.00
Sites, in units of the cell vectors:
Ni1 0.0000 0.0000 0.5000
Ni2 0.0000 0.5000 0.0000
Se1 0.5000 0.5000 0.5000
Cl1 0.5000 0.0000 0.0000

Properties
The density of states at the Fermi level comes out at 0.934 states/eV per atom. For the energy, the calculation gives -17.186 eV/cell. The crystal system is tetragonal.


Entry 2:
Here is an optimized crystal structure of NiSeCl2 from Alexandria via LeMat-Bulk. Energies are from GGA-PBEsol.

a b c (Å): 4.5624 4.5624 4.5624
angles (deg): 60.00 60.00 60.00
Sites, in units of the cell vectors:
Ni1 0.0000 0.0000 0.0000
Se1 0.5000 0.5000 0.5000
Cl1 0.2500 0.2500 0.2500
Cl2 0.7500 0.7500 0.7500

Properties
The density of states at the Fermi level comes out at 1.209 states/eV per atom. As for the relative energy among the computed polymorphs: 1049.6 meV per atom. The crystal system is cubic.


Entry 3:
Here is an optimized crystal structure of NiSeCl2 from Alexandria via LeMat-Bulk. Energies are from GGA-PBEsol.

a b c (Å): 3.0848 4.0118 5.9089
angles (deg): 90.00 90.00 90.00
Each line ends with the local moment (μB).
Sites, in units of the cell vectors:
Ni1 0.5000 0.5000 0.0000  1.02
Se1 0.0000 0.5000 0.5000  0.10
Cl1 0.0000 0.0000 0.0000  0.09
Cl2 0.5000 0.0000 0.5000  0.00

Properties
The density of states at the Fermi level comes out at 1.276 states/eV per atom. As for the relative energy among the computed polymorphs: 722.8 meV per atom. The crystal system is orthorhombic.


Entry 4:
Here is an optimized crystal structure of NiSeCl from Alexandria via LeMat-Bulk. Energies are from GGA-PBEsol.

a b c (Å): 3.3243 3.3243 5.7219
angles (deg): 90.00 90.00 120.00
Sites, in units of the cell vectors:
Ni1 0.3333 0.6667 0.6665
Se1 0.6667 0.3333 0.4295
Cl1 0.0000 0.0000 0.9040

Properties
The density of states at the Fermi level comes out at 0.902 states/eV per atom. For the energy, the calculation gives -13.112 eV/cell. The crystal system is trigonal.


Entry 5:
Here is an optimized crystal structure of NiSe2Cl from Alexandria via LeMat-Bulk. Energies are from GGA-PBEsol.

a b c (Å): 3.5652 4.5797 4.8762
angles (deg): 107.86 90.00 90.00
Sites, in units of the cell vectors:
Ni1 0.5000 0.5000 0.0000
Se1 0.0000 0.8467 0.1565
Se2 0.0000 0.1533 0.8435
Cl1 0.5000 0.5000 0.5000

Properties
The density of states at the Fermi level comes out at 0.260 states/eV per atom. As for the relative energy among the computed polymorphs: 0.0 meV per atom. The crystal system is monoclinic.


Entry 6:
Here is an optimized crystal structure of NiSe2Cl from Alexandria via LeMat-Bulk. Energies are from GGA-PBEsol.

a b c (Å): 3.3403 3.0361 8.8851
angles (deg): 90.00 90.00 123.37
Sites, in units of the cell vectors:
Ni1 0.5000 0.0000 0.7553
Se1 0.0000 0.0000 0.9299
Se2 0.5000 0.0000 0.2289
Cl1 0.0000 0.0000 0.5859

Properties
The density of states at the Fermi level comes out at 0.612 states/eV per atom. As for the relative energy among the computed polymorphs: 413.8 meV per atom. The crystal system is orthorhombic.